# Zn4CdBi

Crystalline Zn4CdBi at its relaxed geometry (GGA-PBE, the Alexandria database).

Values from the calculation:
SG: F-43m (216)
Total energy, eV per atom: -1.54
M_tot, μB/f.u.: 0.000
ΔE_f, meV per atom: 110.7

abc: 5.493 5.493 5.493
angles: 60.00 60.00 60.00
Fractional coordinates of all 6 atoms:
Zn 0.123 0.626 0.626
Zn 0.626 0.626 0.123
Zn 0.626 0.626 0.626
Zn 0.626 0.123 0.626
Cd 0.000 0.000 0.000
Bi 0.250 0.250 0.250

=====

# BaOsO5

Crystalline BaOsO5 at its relaxed geometry (GGA-PBE, the Alexandria database).

Values from the calculation:
SG: Imm2 (44)
Total energy, eV per atom: -6.97
M_tot, μB/f.u.: 0.000

abc: 4.682 5.956 5.956
angles: 67.00 66.86 66.86
Fractional coordinates of all 7 atoms:
Os 0.585 0.500 0.500
O 0.676 0.302 0.302
O 0.508 0.774 0.226
O 0.281 0.698 0.698
O 0.959 0.500 0.500
O 0.508 0.226 0.774
Ba 0.015 0.000 0.000

=====

Which value of total energy does entry 2 give?
-6.97 eV per atom